No. 1
A plane-wave DFT calculation with PBE was carried out for Pm3Y2Er6Sc after structural relaxation.

Unit cell a=6.130 b=10.611 c=11.690 alpha=90.00 beta=100.05 gamma=90.00
Space group C2/m (No. 12)
Symmetry-distinct sites (fractional):
1 Pm 0.000 0.000 0.000 [2 per cell]
2 Pm 0.000 0.333 0.000 [4 per cell]
3 Y 0.000 0.166 0.500 [4 per cell]
4 Er 0.246 0.335 0.745 [8 per cell]
5 Er 0.249 0.500 0.254 [4 per cell]
6 Sc 0.000 0.500 0.500 [2 per cell]

Results
Crystal system: monoclinic
DOS(E_F) in states/eV per cell: 34.62

---

No. 2
A plane-wave DFT calculation with PBE was carried out for Pm2YEr2Sc2 after structural relaxation.

Unit cell a=11.394 b=3.426 c=11.548 alpha=90.00 beta=108.69 gamma=90.00
Space group C2/m (No. 12)
Symmetry-distinct sites (fractional):
1 Pm 0.173 0.000 0.090 [4 per cell]
2 Y 0.000 0.500 0.500 [2 per cell]
3 Er 0.046 0.000 0.769 [4 per cell]
4 Sc 0.228 0.500 0.369 [4 per cell]

Results
Crystal system: monoclinic
DOS(E_F) in states/eV per cell: 24.60

---

No. 3
A plane-wave DFT calculation with PBE was carried out for Pm2Y6Er3Sc after structural relaxation.

Unit cell a=6.134 b=10.617 c=11.756 alpha=90.00 beta=99.97 gamma=90.00
Space group C2/m (No. 12)
Symmetry-distinct sites (fractional):
1 Pm 0.000 0.167 0.000 [4 per cell]
2 Y 0.247 0.500 0.749 [4 per cell]
3 Y 0.249 0.335 0.251 [8 per cell]
4 Er 0.000 0.000 0.500 [2 per cell]
5 Er 0.000 0.334 0.500 [4 per cell]
6 Sc 0.000 0.500 0.000 [2 per cell]

Results
Crystal system: monoclinic
DOS(E_F) in states/eV per cell: 34.77

---

No. 4
A plane-wave DFT calculation with PBE was carried out for PmY6Er2Sc after structural relaxation.

Unit cell a=9.261 b=15.705 c=8.745 alpha=90.00 beta=92.13 gamma=90.00
Space group C2/c (No. 15)
Symmetry-distinct sites (fractional):
1 Pm 0.000 0.033 0.250 [4 per cell]
2 Y 0.039 0.169 0.948 [8 per cell]
3 Y 0.104 0.371 0.091 [8 per cell]
4 Y 0.247 0.293 0.706 [8 per cell]
5 Er 0.234 0.446 0.443 [8 per cell]
6 Sc 0.000 0.443 0.750 [4 per cell]

Results
Crystal system: monoclinic
DOS(E_F) in states/eV per cell: 57.04

---

No. 5
A plane-wave DFT calculation with PBE was carried out for PmYEr3Sc after structural relaxation.

Unit cell a=20.346 b=5.565 c=6.593 alpha=90.00 beta=93.49 gamma=90.00
Space group C2/m (No. 12)
Symmetry-distinct sites (fractional):
1 Pm 0.154 0.000 0.047 [4 per cell]
2 Y 0.062 0.500 0.252 [4 per cell]
3 Er 0.021 0.000 0.755 [4 per cell]
4 Er 0.157 0.500 0.763 [4 per cell]
5 Er 0.224 0.500 0.299 [4 per cell]
6 Sc 0.137 0.000 0.479 [4 per cell]

Results
Crystal system: monoclinic
DOS(E_F) in states/eV per cell: 40.02

---

No. 6
A plane-wave DFT calculation with PBE was carried out for Pm2Y3Er6Sc after structural relaxation.

Unit cell a=6.105 b=10.568 c=11.704 alpha=90.00 beta=99.98 gamma=90.00
Space group C2/m (No. 12)
Symmetry-distinct sites (fractional):
1 Pm 0.000 0.166 0.000 [4 per cell]
2 Y 0.000 0.000 0.500 [2 per cell]
3 Y 0.000 0.334 0.500 [4 per cell]
4 Er 0.248 0.335 0.249 [8 per cell]
5 Er 0.248 0.500 0.751 [4 per cell]
6 Sc 0.000 0.500 0.000 [2 per cell]

Results
Crystal system: monoclinic
DOS(E_F) in states/eV per cell: 33.31

---

No. 7
A plane-wave DFT calculation with PBE was carried out for Pm3Y6Er2Sc after structural relaxation.

Unit cell a=6.169 b=10.678 c=11.763 alpha=90.00 beta=100.05 gamma=90.00
Space group C2/m (No. 12)
Symmetry-distinct sites (fractional):
1 Pm 0.000 0.000 0.000 [2 per cell]
2 Pm 0.000 0.333 0.000 [4 per cell]
3 Y 0.246 0.334 0.744 [8 per cell]
4 Y 0.250 0.000 0.744 [4 per cell]
5 Er 0.000 0.167 0.500 [4 per cell]
6 Sc 0.000 0.500 0.500 [2 per cell]

Results
Crystal system: monoclinic
DOS(E_F) in states/eV per cell: 36.23

---

No. 8
A plane-wave DFT calculation with PBE was carried out for PmY4Er2Sc after structural relaxation.

Unit cell a=6.754 b=11.666 c=13.124 alpha=90.00 beta=90.00 gamma=90.00
Space group Imma (No. 74)
Symmetry-distinct sites (fractional):
1 Pm 0.000 0.000 0.000 [4 per cell]
2 Y 0.000 0.010 0.252 [8 per cell]
3 Y 0.249 0.250 0.491 [8 per cell]
4 Er 0.000 0.000 0.500 [4 per cell]
5 Er 0.250 0.250 0.750 [4 per cell]
6 Sc 0.250 0.250 0.250 [4 per cell]

Results
Crystal system: orthorhombic
DOS(E_F) in states/eV per cell: 69.33

---

No. 9
A plane-wave DFT calculation with PBE was carried out for Pm6Y2ErSc after structural relaxation.

Unit cell a=9.289 b=15.263 c=9.320 alpha=90.00 beta=95.63 gamma=90.00
Space group C2/c (No. 15)
Symmetry-distinct sites (fractional):
1 Pm 0.054 0.176 0.447 [8 per cell]
2 Pm 0.097 0.386 0.611 [8 per cell]
3 Pm 0.224 0.217 0.804 [8 per cell]
4 Y 0.245 0.451 0.951 [8 per cell]
5 Er 0.000 0.029 0.750 [4 per cell]
6 Sc 0.000 0.421 0.250 [4 per cell]

Results
Crystal system: monoclinic
DOS(E_F) in states/eV per cell: 57.26

---

No. 10
A plane-wave DFT calculation with PBE was carried out for PmYErSc after structural relaxation.

Unit cell a=4.972 b=4.972 c=9.805 alpha=90.00 beta=90.00 gamma=90.00
Space group I-4m2 (No. 119)
Symmetry-distinct sites (fractional):
1 Pm 0.000 0.000 0.000 [2 per cell]
2 Y 0.000 0.500 0.250 [2 per cell]
3 Er 0.000 0.500 0.750 [2 per cell]
4 Sc 0.000 0.000 0.500 [2 per cell]

Results
Crystal system: tetragonal
DOS(E_F) in states/eV per cell: 12.91

---

No. 11
A plane-wave DFT calculation with PBE was carried out for Pm2Y6ErSc3 after structural relaxation.

Unit cell a=6.091 b=10.548 c=11.550 alpha=90.00 beta=100.12 gamma=90.00
Space group C2/m (No. 12)
Symmetry-distinct sites (fractional):
1 Pm 0.000 0.167 0.000 [4 per cell]
2 Y 0.246 0.500 0.740 [4 per cell]
3 Y 0.247 0.166 0.740 [8 per cell]
4 Er 0.000 0.500 0.000 [2 per cell]
5 Sc 0.000 0.000 0.500 [2 per cell]
6 Sc 0.000 0.334 0.500 [4 per cell]

Results
Crystal system: monoclinic
DOS(E_F) in states/eV per cell: 37.90

---

No. 12
A plane-wave DFT calculation with PBE was carried out for PmY2Er6Sc3 after structural relaxation.

Unit cell a=6.027 b=10.432 c=11.455 alpha=90.00 beta=100.07 gamma=90.00
Space group C2/m (No. 12)
Symmetry-distinct sites (fractional):
1 Pm 0.000 0.000 0.000 [2 per cell]
2 Y 0.000 0.333 0.000 [4 per cell]
3 Er 0.246 0.000 0.739 [4 per cell]
4 Er 0.246 0.334 0.739 [8 per cell]
5 Sc 0.000 0.167 0.500 [4 per cell]
6 Sc 0.000 0.500 0.500 [2 per cell]

Results
Crystal system: monoclinic
DOS(E_F) in states/eV per cell: 36.75

---

No. 13
A plane-wave DFT calculation with PBE was carried out for Pm6Y2Er3Sc after structural relaxation.

Unit cell a=6.202 b=10.738 c=11.709 alpha=90.00 beta=100.13 gamma=90.00
Space group C2/m (No. 12)
Symmetry-distinct sites (fractional):
1 Pm 0.247 0.000 0.251 [4 per cell]
2 Pm 0.248 0.165 0.749 [8 per cell]
3 Y 0.000 0.333 0.500 [4 per cell]
4 Er 0.000 0.167 0.000 [4 per cell]
5 Er 0.000 0.500 0.000 [2 per cell]
6 Sc 0.000 0.000 0.500 [2 per cell]

Results
Crystal system: monoclinic
DOS(E_F) in states/eV per cell: 27.47

---

No. 14
A plane-wave DFT calculation with PBE was carried out for Pm3YErSc after structural relaxation.

Unit cell a=7.904 b=5.047 c=10.055 alpha=90.00 beta=108.59 gamma=90.00
Space group P2_1/m (No. 11)
Symmetry-distinct sites (fractional):
1 Pm 0.170 0.250 0.044 [2 per cell]
2 Pm 0.173 0.750 0.790 [2 per cell]
3 Pm 0.176 0.250 0.542 [2 per cell]
4 Y 0.176 0.750 0.297 [2 per cell]
5 Er 0.498 0.750 0.128 [2 per cell]
6 Sc 0.499 0.250 0.379 [2 per cell]

Results
Crystal system: monoclinic
DOS(E_F) in states/eV per cell: 18.48

---

No. 15
A plane-wave DFT calculation with PBE was carried out for Pm5YEr2Sc after structural relaxation.

Unit cell a=5.343 b=21.820 c=10.180 alpha=90.00 beta=90.00 gamma=90.00
Space group Cmc2_1 (No. 36)
Symmetry-distinct sites (fractional):
1 Pm 0.000 0.000 0.000 [4 per cell]
2 Pm 0.000 0.126 0.250 [4 per cell]
3 Pm 0.000 0.221 0.939 [4 per cell]
4 Pm 0.000 0.222 0.563 [4 per cell]
5 Pm 0.000 0.499 0.750 [4 per cell]
6 Y 0.000 0.101 0.750 [4 per cell]
7 Er 0.000 0.384 0.002 [4 per cell]
8 Er 0.000 0.384 0.499 [4 per cell]
9 Sc 0.000 0.285 0.251 [4 per cell]

Results
Crystal system: orthorhombic
DOS(E_F) in states/eV per cell: 53.85

---

No. 16
A plane-wave DFT calculation with PBE was carried out for PmYEr2Sc4 after structural relaxation.

Unit cell a=4.904 b=4.904 c=9.316 alpha=90.00 beta=90.00 gamma=90.00
Space group P4/mmm (No. 123)
Symmetry-distinct sites (fractional):
1 Pm 0.000 0.000 0.000 [1 per cell]
2 Y 0.500 0.500 0.500 [1 per cell]
3 Er 0.000 0.000 0.500 [1 per cell]
4 Er 0.500 0.500 0.000 [1 per cell]
5 Sc 0.000 0.500 0.250 [4 per cell]

Results
Crystal system: tetragonal
DOS(E_F) in states/eV per cell: 14.06

---

No. 17
A plane-wave DFT calculation with PBE was carried out for Pm4YEr2Sc after structural relaxation.

Unit cell a=5.069 b=5.080 c=9.864 alpha=90.00 beta=90.00 gamma=90.00
Space group Pmmm (No. 47)
Symmetry-distinct sites (fractional):
1 Pm 0.000 0.000 0.244 [2 per cell]
2 Pm 0.500 0.500 0.244 [2 per cell]
3 Y 0.000 0.500 0.500 [1 per cell]
4 Er 0.000 0.500 0.000 [1 per cell]
5 Er 0.500 0.000 0.500 [1 per cell]
6 Sc 0.500 0.000 0.000 [1 per cell]

Results
Crystal system: orthorhombic
DOS(E_F) in states/eV per cell: 11.09

---

No. 18
A plane-wave DFT calculation with PBE was carried out for Pm6YErSc2 after structural relaxation.

Unit cell a=9.043 b=15.065 c=9.499 alpha=90.00 beta=97.71 gamma=90.00
Space group C2/c (No. 15)
Symmetry-distinct sites (fractional):
1 Pm 0.062 0.176 0.448 [8 per cell]
2 Pm 0.100 0.397 0.618 [8 per cell]
3 Pm 0.214 0.226 0.816 [8 per cell]
4 Y 0.000 0.027 0.750 [4 per cell]
5 Er 0.000 0.409 0.250 [4 per cell]
6 Sc 0.250 0.051 0.047 [8 per cell]

Results
Crystal system: monoclinic
DOS(E_F) in states/eV per cell: 62.89

---

No. 19
A plane-wave DFT calculation with PBE was carried out for Pm6Y3Er2Sc after structural relaxation.

Unit cell a=6.212 b=10.757 c=11.729 alpha=90.00 beta=100.13 gamma=90.00
Space group C2/m (No. 12)
Symmetry-distinct sites (fractional):
1 Pm 0.247 0.165 0.246 [8 per cell]
2 Pm 0.249 0.000 0.754 [4 per cell]
3 Y 0.000 0.167 0.500 [4 per cell]
4 Y 0.000 0.500 0.500 [2 per cell]
5 Er 0.000 0.333 0.000 [4 per cell]
6 Sc 0.000 0.000 0.000 [2 per cell]

Results
Crystal system: monoclinic
DOS(E_F) in states/eV per cell: 28.24

---

No. 20
A plane-wave DFT calculation with PBE was carried out for Pm2YEr4Sc after structural relaxation.

Unit cell a=4.994 b=4.994 c=9.906 alpha=90.00 beta=90.00 gamma=90.00
Space group P4/mmm (No. 123)
Symmetry-distinct sites (fractional):
1 Pm 0.000 0.000 0.000 [1 per cell]
2 Pm 0.500 0.500 0.500 [1 per cell]
3 Y 0.000 0.000 0.500 [1 per cell]
4 Er 0.000 0.500 0.244 [4 per cell]
5 Sc 0.500 0.500 0.000 [1 per cell]

Results
Crystal system: tetragonal
DOS(E_F) in states/eV per cell: 11.85

---

What ΔH_f (0 K) values result from the calculations? In sequence: 0.0310, 0.1118, 0.0310, 0.1212, 0.1919, 0.0303, 0.0321, 0.4419, 0.1298, 0.0484, 0.0513, 0.0468, 0.0234, 0.0418, 0.1308, 0.0560, 0.0291, 0.1226, 0.0239, 0.0355 eV per atom.
What total moment values result from the calculations? In sequence: 0.000, 0.000, 0.000, 0.000, 0.001, 0.000, 0.000, 0.466, 0.000, 0.004, 0.000, 0.000, 0.000, 0.000, 0.000, 0.000, 0.000, 0.000, 0.000, 0.000 μB per atom.